1.
# Cd2InOs, relaxed, DFT GGA-PBE
data_Cd2InOs
_space_group_name_H-M_alt 'C 1 m 1'
_space_group_IT_number 8
_space_group_name_Hall 'C -2y'
_cell_length_a 10.222
_cell_length_b 3.372
_cell_length_c 4.930
_cell_angle_alpha 90.00
_cell_angle_beta 113.96
_cell_angle_gamma 90.00
loop_
_atom_site_label
_atom_site_fract_x
_atom_site_fract_y
_atom_site_fract_z
Cd1 0.000 0.000 0.000
Cd2 0.236 0.000 0.838
In1 0.273 0.500 0.378
Os1 0.004 0.500 0.469
# crystal system = monoclinic
# uncorrected energy = -3.522 eV/atom

---

2.
# CdIn2Os, relaxed, DFT GGA-PBE
data_CdIn2Os
_space_group_name_H-M_alt 'P 4/m m m'
_space_group_IT_number 123
_space_group_name_Hall '-P 4 2'
_cell_length_a 3.116
_cell_length_b 3.116
_cell_length_c 8.683
_cell_angle_alpha 90.00
_cell_angle_beta 90.00
_cell_angle_gamma 90.00
loop_
_atom_site_label
_atom_site_fract_x
_atom_site_fract_y
_atom_site_fract_z
Cd1 0.000 0.000 0.000
In1 0.500 0.500 0.298
Os1 0.000 0.000 0.500
# crystal system = tetragonal
# uncorrected energy = -4.024 eV/atom

---

3.
# CdIn2Os, relaxed, DFT GGA-PBE
data_CdIn2Os
_space_group_name_H-M_alt 'P m m m'
_space_group_IT_number 47
_space_group_name_Hall '-P 2 2'
_cell_length_a 3.409
_cell_length_b 3.800
_cell_length_c 6.071
_cell_angle_alpha 90.00
_cell_angle_beta 90.00
_cell_angle_gamma 90.00
loop_
_atom_site_label
_atom_site_fract_x
_atom_site_fract_y
_atom_site_fract_z
Cd1 0.000 0.000 0.000
In1 0.500 0.500 0.267
Os1 0.000 0.000 0.500
# crystal system = orthorhombic
# uncorrected energy = -4.006 eV/atom

---

4.
# Cd2InOs, relaxed, DFT GGA-PBE
data_Cd2InOs
_space_group_name_H-M_alt 'P 1 m 1'
_space_group_IT_number 6
_space_group_name_Hall 'P -2y'
_cell_length_a 3.145
_cell_length_b 4.087
_cell_length_c 6.017
_cell_angle_alpha 90.00
_cell_angle_beta 90.22
_cell_angle_gamma 90.00
loop_
_atom_site_label
_atom_site_fract_x
_atom_site_fract_y
_atom_site_fract_z
Cd1 0.000 0.000 0.000
Cd2 0.500 0.500 0.245
In1 0.501 0.500 0.708
Os1 0.000 0.000 0.502
# crystal system = monoclinic
# uncorrected energy = -3.496 eV/atom

---

5.
# RbCdIn2Os, relaxed, DFT GGA-PBE
data_RbCdIn2Os
_space_group_name_H-M_alt 'P 4/m m m'
_space_group_IT_number 123
_space_group_name_Hall '-P 4 2'
_cell_length_a 5.245
_cell_length_b 5.245
_cell_length_c 5.414
_cell_angle_alpha 90.00
_cell_angle_beta 90.00
_cell_angle_gamma 90.00
loop_
_atom_site_label
_atom_site_fract_x
_atom_site_fract_y
_atom_site_fract_z
Rb1 0.000 0.000 0.000
Cd1 0.500 0.500 0.000
In1 0.000 0.500 0.500
Os1 0.500 0.500 0.500
# crystal system = tetragonal
# uncorrected energy = -3.630 eV/atom

---

6.
# CdIn2OsS, relaxed, DFT GGA-PBE
data_CdIn2OsS
_space_group_name_H-M_alt 'P 4/m m m'
_space_group_IT_number 123
_space_group_name_Hall '-P 4 2'
_cell_length_a 5.313
_cell_length_b 5.313
_cell_length_c 5.213
_cell_angle_alpha 90.00
_cell_angle_beta 90.00
_cell_angle_gamma 90.00
loop_
_atom_site_label
_atom_site_fract_x
_atom_site_fract_y
_atom_site_fract_z
Cd1 0.000 0.000 0.000
In1 0.000 0.500 0.000
Os1 0.000 0.000 0.500
S1 0.500 0.500 0.500
# crystal system = tetragonal
# formation energy from raw total energies = 1.474 eV/atom
# uncorrected energy = -2.876 eV/atom

---

7.
# CdInOsSe2, relaxed, DFT GGA-PBE
data_CdInOsSe2
_space_group_name_H-M_alt 'P 4/m m m'
_space_group_IT_number 123
_space_group_name_Hall '-P 4 2'
_cell_length_a 5.234
_cell_length_b 5.234
_cell_length_c 5.276
_cell_angle_alpha 90.00
_cell_angle_beta 90.00
_cell_angle_gamma 90.00
loop_
_atom_site_label
_atom_site_fract_x
_atom_site_fract_y
_atom_site_fract_z
Cd1 0.000 0.000 0.000
In1 0.500 0.500 0.500
Os1 0.000 0.000 0.500
Se1 0.000 0.500 0.000
# crystal system = tetragonal
# formation energy from raw total energies = 1.290 eV/atom
# uncorrected energy = -3.080 eV/atom

---

8.
# SrCdIn2Os, relaxed, DFT GGA-PBE
data_SrCdIn2Os
_space_group_name_H-M_alt 'P 4/m m m'
_space_group_IT_number 123
_space_group_name_Hall '-P 4 2'
_cell_length_a 6.108
_cell_length_b 6.108
_cell_length_c 5.059
_cell_angle_alpha 90.00
_cell_angle_beta 90.00
_cell_angle_gamma 90.00
loop_
_atom_site_label
_atom_site_fract_x
_atom_site_fract_y
_atom_site_fract_z
Sr1 0.000 0.000 0.000
Cd1 0.500 0.500 0.500
In1 0.000 0.500 0.000
Os1 0.000 0.000 0.500
# crystal system = tetragonal
# uncorrected energy = -2.256 eV/atom

---

9.
# CdInP, relaxed, DFT GGA-PBE
data_CdInP
_space_group_name_H-M_alt 'C 1 m 1'
_space_group_IT_number 8
_space_group_name_Hall 'C -2y'
_cell_length_a 13.449
_cell_length_b 4.020
_cell_length_c 5.572
_cell_angle_alpha 90.00
_cell_angle_beta 90.11
_cell_angle_gamma 90.00
loop_
_atom_site_label
_atom_site_fract_x
_atom_site_fract_y
_atom_site_fract_z
Cd1 0.000 0.000 0.000
Cd2 0.222 0.000 0.956
In1 0.107 0.000 0.458
In2 0.335 0.000 0.489
P1 0.011 0.500 0.676
P2 0.326 0.500 0.177
# ΔE to the lowest computed polymorph = 0 kJ/mol of formula units
# crystal system = monoclinic
# uncorrected energy = -2.999 eV/atom

---

10.
# Cd2InP, relaxed, DFT GGA-PBE
data_Cd2InP
_space_group_name_H-M_alt 'P 1 2/m 1'
_space_group_IT_number 10
_space_group_name_Hall '-P 2y'
_cell_length_a 4.962
_cell_length_b 3.167
_cell_length_c 6.033
_cell_angle_alpha 90.00
_cell_angle_beta 109.10
_cell_angle_gamma 90.00
loop_
_atom_site_label
_atom_site_fract_x
_atom_site_fract_y
_atom_site_fract_z
Cd1 0.000 0.000 0.000
Cd2 0.500 0.500 0.000
In1 0.000 0.000 0.500
P1 0.500 0.500 0.500
# crystal system = monoclinic
# uncorrected energy = -2.271 eV/atom

---

11.
# Cd2InP, relaxed, DFT GGA-PBE
data_Cd2InP
_space_group_name_H-M_alt 'P 4 m m'
_space_group_IT_number 99
_space_group_name_Hall 'P 4 -2'
_cell_length_a 3.310
_cell_length_b 3.310
_cell_length_c 8.156
_cell_angle_alpha 90.00
_cell_angle_beta 90.00
_cell_angle_gamma 90.00
loop_
_atom_site_label
_atom_site_fract_x
_atom_site_fract_y
_atom_site_fract_z
Cd1 0.000 0.000 0.000
Cd2 0.500 0.500 0.267
In1 0.000 0.000 0.562
P1 0.500 0.500 0.789
# crystal system = tetragonal
# uncorrected energy = -2.270 eV/atom

---

12.
# CdIn3P, relaxed, DFT GGA-PBE
data_CdIn3P
_space_group_name_H-M_alt 'P m -3 m'
_space_group_IT_number 221
_space_group_name_Hall '-P 4 2 3'
_cell_length_a 5.407
_cell_length_b 5.407
_cell_length_c 5.407
_cell_angle_alpha 90.00
_cell_angle_beta 90.00
_cell_angle_gamma 90.00
loop_
_atom_site_label
_atom_site_fract_x
_atom_site_fract_y
_atom_site_fract_z
Cd1 0.000 0.000 0.000
In1 0.000 0.000 0.500
P1 0.500 0.500 0.500
# ΔE to the lowest computed polymorph = 187 kJ/mol of formula units
# crystal system = cubic
# uncorrected energy = -2.218 eV/atom

---

13.
# Cd3InP, relaxed, DFT GGA-PBE
data_Cd3InP
_space_group_name_H-M_alt 'P m -3 m'
_space_group_IT_number 221
_space_group_name_Hall '-P 4 2 3'
_cell_length_a 5.457
_cell_length_b 5.457
_cell_length_c 5.457
_cell_angle_alpha 90.00
_cell_angle_beta 90.00
_cell_angle_gamma 90.00
loop_
_atom_site_label
_atom_site_fract_x
_atom_site_fract_y
_atom_site_fract_z
Cd1 0.000 0.000 0.500
In1 0.000 0.000 0.000
P1 0.500 0.500 0.500
# ΔE to the lowest computed polymorph = 233 kJ/mol of formula units
# crystal system = cubic
# uncorrected energy = -1.404 eV/atom

---

14.
# Cd2InP, relaxed, DFT GGA-PBE
data_Cd2InP
_space_group_name_H-M_alt 'C m m m'
_space_group_IT_number 65
_space_group_name_Hall '-C 2 2'
_cell_length_a 5.669
_cell_length_b 8.447
_cell_length_c 4.022
_cell_angle_alpha 90.00
_cell_angle_beta 90.00
_cell_angle_gamma 90.00
loop_
_atom_site_label
_atom_site_fract_x
_atom_site_fract_y
_atom_site_fract_z
Cd1 0.000 0.208 0.000
In1 0.000 0.500 0.500
P1 0.000 0.000 0.500
# crystal system = orthorhombic
# uncorrected energy = -2.391 eV/atom

---

15.
# CdInP, relaxed, DFT GGA-PBE
data_CdInP
_space_group_name_H-M_alt 'P -1'
_space_group_IT_number 2
_space_group_name_Hall '-P 1'
_cell_length_a 3.970
_cell_length_b 6.383
_cell_length_c 6.502
_cell_angle_alpha 65.68
_cell_angle_beta 72.83
_cell_angle_gamma 72.68
loop_
_atom_site_label
_atom_site_fract_x
_atom_site_fract_y
_atom_site_fract_z
Cd1 0.116 0.050 0.229
In1 0.389 0.420 0.294
P1 0.236 0.263 0.763
# ΔE to the lowest computed polymorph = 4 kJ/mol of formula units
# crystal system = triclinic
# uncorrected energy = -2.986 eV/atom

---

16.
# CdInP, relaxed, DFT GGA-PBE
data_CdInP
_space_group_name_H-M_alt 'P -1'
_space_group_IT_number 2
_space_group_name_Hall '-P 1'
_cell_length_a 3.990
_cell_length_b 5.147
_cell_length_c 6.876
_cell_angle_alpha 88.96
_cell_angle_beta 88.59
_cell_angle_gamma 88.70
loop_
_atom_site_label
_atom_site_fract_x
_atom_site_fract_y
_atom_site_fract_z
Cd1 0.214 0.282 0.417
In1 0.241 0.720 0.092
P1 0.278 0.998 0.752
# ΔE to the lowest computed polymorph = 4 kJ/mol of formula units
# crystal system = triclinic
# uncorrected energy = -2.984 eV/atom

---

17.
# Cd2InP, relaxed, DFT GGA-PBE
data_Cd2InP
_space_group_name_H-M_alt 'C 1 m 1'
_space_group_IT_number 8
_space_group_name_Hall 'C -2y'
_cell_length_a 6.872
_cell_length_b 3.977
_cell_length_c 7.449
_cell_angle_alpha 90.00
_cell_angle_beta 108.02
_cell_angle_gamma 90.00
loop_
_atom_site_label
_atom_site_fract_x
_atom_site_fract_y
_atom_site_fract_z
Cd1 0.000 0.000 0.000
Cd2 0.239 0.000 0.716
In1 0.268 0.500 0.304
P1 0.000 0.500 0.501
# crystal system = monoclinic
# uncorrected energy = -2.440 eV/atom

---

18.
# CdInP, relaxed, DFT GGA-PBE
data_CdInP
_space_group_name_H-M_alt 'F m m 2'
_space_group_IT_number 42
_space_group_name_Hall 'F 2 -2'
_cell_length_a 4.215
_cell_length_b 5.456
_cell_length_c 11.774
_cell_angle_alpha 90.00
_cell_angle_beta 90.00
_cell_angle_gamma 90.00
loop_
_atom_site_label
_atom_site_fract_x
_atom_site_fract_y
_atom_site_fract_z
Cd1 0.000 0.000 0.000
In1 0.000 0.000 0.299
P1 0.000 0.000 0.648
# ΔE to the lowest computed polymorph = 73 kJ/mol of formula units
# crystal system = orthorhombic
# uncorrected energy = -2.748 eV/atom

---

19.
# Cd2InP2, relaxed, DFT GGA-PBE
data_Cd2InP2
_space_group_name_H-M_alt 'I 4/m m m'
_space_group_IT_number 139
_space_group_name_Hall '-I 4 2'
_cell_length_a 4.293
_cell_length_b 4.293
_cell_length_c 12.379
_cell_angle_alpha 90.00
_cell_angle_beta 90.00
_cell_angle_gamma 90.00
loop_
_atom_site_label
_atom_site_fract_x
_atom_site_fract_y
_atom_site_fract_z
Cd1 0.000 0.000 0.113
In1 0.000 0.000 0.500
P1 0.000 0.500 0.250
# ΔE to the lowest computed polymorph = 90 kJ/mol of formula units
# crystal system = tetragonal
# uncorrected energy = -2.768 eV/atom

---

20.
# CdInP4, relaxed, DFT GGA-PBE
data_CdInP4
_space_group_name_H-M_alt 'F -4 3 m'
_space_group_IT_number 216
_space_group_name_Hall 'F -4 2 3'
_cell_length_a 8.634
_cell_length_b 8.634
_cell_length_c 8.634
_cell_angle_alpha 90.00
_cell_angle_beta 90.00
_cell_angle_gamma 90.00
loop_
_atom_site_label
_atom_site_fract_x
_atom_site_fract_y
_atom_site_fract_z
Cd1 0.000 0.000 0.000
In1 0.250 0.250 0.750
P1 0.092 0.092 0.408
# crystal system = cubic
# uncorrected energy = -3.858 eV/atom

---

21.
# CdIn3P, relaxed, DFT GGA-PBE
data_CdIn3P
_space_group_name_H-M_alt 'P m -3 m'
_space_group_IT_number 221
_space_group_name_Hall '-P 4 2 3'
_cell_length_a 5.275
_cell_length_b 5.275
_cell_length_c 5.275
_cell_angle_alpha 90.00
_cell_angle_beta 90.00
_cell_angle_gamma 90.00
loop_
_atom_site_label
_atom_site_fract_x
_atom_site_fract_y
_atom_site_fract_z
Cd1 0.000 0.000 0.000
In1 0.000 0.500 0.500
P1 0.500 0.500 0.500
# ΔE to the lowest computed polymorph = 0 kJ/mol of formula units
# crystal system = cubic
# uncorrected energy = -2.607 eV/atom

---

22.
# CdInP, relaxed, DFT GGA-PBE
data_CdInP
_space_group_name_H-M_alt 'F -4 3 m'
_space_group_IT_number 216
_space_group_name_Hall 'F -4 2 3'
_cell_length_a 6.704
_cell_length_b 6.704
_cell_length_c 6.704
_cell_angle_alpha 90.00
_cell_angle_beta 90.00
_cell_angle_gamma 90.00
loop_
_atom_site_label
_atom_site_fract_x
_atom_site_fract_y
_atom_site_fract_z
Cd1 0.000 0.000 0.000
In1 0.000 0.000 0.500
P1 0.250 0.250 0.750
# ΔE to the lowest computed polymorph = 39 kJ/mol of formula units
# crystal system = cubic
# uncorrected energy = -2.863 eV/atom

---

23.
# Cd2InP, relaxed, DFT GGA-PBE
data_Cd2InP
_space_group_name_H-M_alt 'P 1 m 1'
_space_group_IT_number 6
_space_group_name_Hall 'P -2y'
_cell_length_a 2.881
_cell_length_b 3.819
_cell_length_c 8.284
_cell_angle_alpha 90.00
_cell_angle_beta 90.02
_cell_angle_gamma 90.00
loop_
_atom_site_label
_atom_site_fract_x
_atom_site_fract_y
_atom_site_fract_z
Cd1 0.000 0.000 0.000
Cd2 0.499 0.500 0.752
In1 0.500 0.500 0.278
P1 0.502 0.000 0.512
# crystal system = monoclinic
# uncorrected energy = -2.347 eV/atom

---

24.
# Cd2InP2, relaxed, DFT GGA-PBE
data_Cd2InP2
_space_group_name_H-M_alt 'I 4/m m m'
_space_group_IT_number 139
_space_group_name_Hall '-I 4 2'
_cell_length_a 4.971
_cell_length_b 4.971
_cell_length_c 9.179
_cell_angle_alpha 90.00
_cell_angle_beta 90.00
_cell_angle_gamma 90.00
loop_
_atom_site_label
_atom_site_fract_x
_atom_site_fract_y
_atom_site_fract_z
Cd1 0.000 0.500 0.250
In1 0.000 0.000 0.000
P1 0.000 0.000 0.380
# ΔE to the lowest computed polymorph = 0 kJ/mol of formula units
# crystal system = tetragonal
# uncorrected energy = -2.954 eV/atom

---

25.
# Cd2InP2, relaxed, DFT GGA-PBE
data_Cd2InP2
_space_group_name_H-M_alt 'P 4/m b m'
_space_group_IT_number 127
_space_group_name_Hall '-P 4 2ab'
_cell_length_a 7.560
_cell_length_b 7.560
_cell_length_c 3.797
_cell_angle_alpha 90.00
_cell_angle_beta 90.00
_cell_angle_gamma 90.00
loop_
_atom_site_label
_atom_site_fract_x
_atom_site_fract_y
_atom_site_fract_z
Cd1 0.135 0.365 0.000
In1 0.000 0.000 0.500
P1 0.184 0.684 0.500
# ΔE to the lowest computed polymorph = 54 kJ/mol of formula units
# crystal system = tetragonal
# uncorrected energy = -2.842 eV/atom

---

26.
# Cd2InP, relaxed, DFT GGA-PBE
data_Cd2InP
_space_group_name_H-M_alt 'C m m m'
_space_group_IT_number 65
_space_group_name_Hall '-C 2 2'
_cell_length_a 4.275
_cell_length_b 5.042
_cell_length_c 8.355
_cell_angle_alpha 90.00
_cell_angle_beta 90.00
_cell_angle_gamma 90.00
loop_
_atom_site_label
_atom_site_fract_x
_atom_site_fract_y
_atom_site_fract_z
Cd1 0.000 0.000 0.217
In1 0.000 0.500 0.500
P1 0.000 0.500 0.000
# crystal system = orthorhombic
# uncorrected energy = -2.256 eV/atom

---

27.
# Cd2InP, relaxed, DFT GGA-PBE
data_Cd2InP
_space_group_name_H-M_alt 'R -3 m'
_space_group_IT_number 166
_space_group_name_Hall '-R 3 2"'
_cell_length_a 4.1006
_cell_length_b 4.1006
_cell_length_c 20.0232
_cell_angle_alpha 90.00
_cell_angle_beta 90.00
_cell_angle_gamma 120.00
loop_
_atom_site_label
_atom_site_fract_x
_atom_site_fract_y
_atom_site_fract_z
Cd1 0.0000 0.0000 0.2320
In1 0.0000 0.0000 0.0000
P1 0.0000 0.0000 0.5000
# crystal system = trigonal
# uncorrected energy = -2.380 eV/atom

---

28.
# Cd4InP, relaxed, DFT GGA-PBE
data_Cd4InP
_space_group_name_H-M_alt 'F -4 3 m'
_space_group_IT_number 216
_space_group_name_Hall 'F -4 2 3'
_cell_length_a 8.250
_cell_length_b 8.250
_cell_length_c 8.250
_cell_angle_alpha 90.00
_cell_angle_beta 90.00
_cell_angle_gamma 90.00
loop_
_atom_site_label
_atom_site_fract_x
_atom_site_fract_y
_atom_site_fract_z
Cd1 0.125 0.125 0.125
In1 0.250 0.250 0.750
P1 0.000 0.000 0.500
# crystal system = cubic
# uncorrected energy = -1.650 eV/atom